1.
# BaAl2ZnAg4, relaxed, DFT PBE
# Total energy   -22.96 eV per formula unit
# Theoretical density   6.6 Mg/m³
data_BaAl2ZnAg4
_chemical_formula_sum 'Ba3 Al6 Zn3 Ag12'
_symmetry_space_group_name_H-M 'R -3 m'
_symmetry_Int_Tables_number 166
_symmetry_space_group_name_Hall '-R 3 2"'
_cell_length_a 4.5059
_cell_length_b 4.5059
_cell_length_c 29.7005
_cell_angle_alpha 90.00
_cell_angle_beta 90.00
_cell_angle_gamma 120.00
loop_
_atom_site_label
_atom_site_fract_x
_atom_site_fract_y
_atom_site_fract_z
Ba1 0.0000 0.0000 0.0000
Al1 0.0000 0.0000 0.2371
Zn1 0.0000 0.0000 0.5000
Ag1 0.0000 0.0000 0.1366
Ag2 0.0000 0.0000 0.4114

2.
# Ba2AlZn2Ag, relaxed, DFT PBE
# Total energy   -14.18 eV per formula unit
# Theoretical density   5.1 Mg/m³
data_Ba2AlZn2Ag
_chemical_formula_sum 'Ba8 Al4 Zn8 Ag4'
_symmetry_space_group_name_H-M 'I b a m'
_symmetry_Int_Tables_number 72
_symmetry_space_group_name_Hall '-I 2 2c'
_cell_length_a 6.412
_cell_length_b 16.937
_cell_length_c 6.469
_cell_angle_alpha 90.00
_cell_angle_beta 90.00
_cell_angle_gamma 90.00
loop_
_atom_site_label
_atom_site_fract_x
_atom_site_fract_y
_atom_site_fract_z
Ba1 0.245 0.159 0.000
Al1 0.000 0.500 0.250
Zn1 0.232 0.410 0.000
Ag1 0.000 0.000 0.250

3.
# Ba2Al12ZnAg3, relaxed, DFT PBE
# Total energy   -55.65 eV per formula unit
# Theoretical density   3.6 Mg/m³
data_Ba2Al12ZnAg3
_chemical_formula_sum 'Ba6 Al36 Zn3 Ag9'
_symmetry_space_group_name_H-M 'R -3 m'
_symmetry_Int_Tables_number 166
_symmetry_space_group_name_Hall '-R 3 2"'
_cell_length_a 8.6972
_cell_length_b 8.6972
_cell_length_c 20.6904
_cell_angle_alpha 90.00
_cell_angle_beta 90.00
_cell_angle_gamma 120.00
loop_
_atom_site_label
_atom_site_fract_x
_atom_site_fract_y
_atom_site_fract_z
Ba1 0.0000 0.0000 0.0821
Al1 0.0329 0.5164 0.8629
Al2 0.1090 0.2180 0.5975
Zn1 0.0000 0.0000 0.5000
Ag1 0.0000 0.5000 0.0000

4.
# BaAlZnAg2, relaxed, DFT PBE
# Total energy   -13.54 eV per formula unit
# Theoretical density   6.1 Mg/m³
# Distance to the lowest polymorph of the same formula   0 meV/atom
data_BaAlZnAg2
_chemical_formula_sum 'Ba2 Al2 Zn2 Ag4'
_symmetry_space_group_name_H-M 'I m m 2'
_symmetry_Int_Tables_number 44
_cell_length_a 4.499
_cell_length_b 4.651
_cell_length_c 11.533
_cell_angle_alpha 90.00
_cell_angle_beta 90.00
_cell_angle_gamma 90.00
loop_
_symmetry_equiv_pos_as_xyz
'x,y,z'
'-x,-y,z'
'-x,y,z'
'x,-y,z'
'x+1/2,y+1/2,z+1/2'
'-x+1/2,-y+1/2,z+1/2'
'-x+1/2,y+1/2,z+1/2'
'x+1/2,-y+1/2,z+1/2'
loop_
_atom_site_label
_atom_site_fract_x
_atom_site_fract_y
_atom_site_fract_z
Ba1 0.000 0.000 0.000
Al1 0.000 0.500 0.748
Zn1 0.000 0.000 0.622
Ag1 0.000 0.000 0.382
Ag2 0.000 0.500 0.244

5.
# Ba2AlZn3Ag4, relaxed, DFT PBE
# Total energy   -24.77 eV per formula unit
# Theoretical density   6.4 Mg/m³
data_Ba2AlZn3Ag4
_chemical_formula_sum 'Ba2 Al1 Zn3 Ag4'
_symmetry_space_group_name_H-M 'P -4 m 2'
_symmetry_Int_Tables_number 115
_cell_length_a 4.743
_cell_length_b 4.743
_cell_length_c 10.704
_cell_angle_alpha 90.00
_cell_angle_beta 90.00
_cell_angle_gamma 90.00
loop_
_symmetry_equiv_pos_as_xyz
'x,y,z'
'y,-x,-z'
'-x,-y,z'
'-y,x,-z'
'-x,y,z'
'-y,-x,-z'
'x,-y,z'
'y,x,-z'
loop_
_atom_site_label
_atom_site_fract_x
_atom_site_fract_y
_atom_site_fract_z
Ba1 0.000 0.500 0.248
Al1 0.000 0.000 0.500
Zn1 0.000 0.500 0.875
Zn2 0.500 0.500 0.500
Ag1 0.000 0.000 0.000
Ag2 0.000 0.500 0.621
Ag3 0.500 0.500 0.000

6.
# BeAl2Ag, relaxed, DFT PBE
# Total energy   -12.82 eV per formula unit
# Theoretical density   4.6 Mg/m³
data_BeAl2Ag
_chemical_formula_sum 'Be4 Al8 Ag4'
_symmetry_space_group_name_H-M 'F -4 3 m'
_symmetry_Int_Tables_number 216
_symmetry_space_group_name_Hall 'F -4 2 3'
_cell_length_a 6.254
_cell_length_b 6.254
_cell_length_c 6.254
_cell_angle_alpha 90.00
_cell_angle_beta 90.00
_cell_angle_gamma 90.00
loop_
_atom_site_label
_atom_site_fract_x
_atom_site_fract_y
_atom_site_fract_z
Be1 0.000 0.000 0.000
Al1 0.000 0.000 0.500
Al2 0.250 0.250 0.250
Ag1 0.250 0.250 0.750

7.
# BeAl2Ag, relaxed, DFT PBE
# Total energy   -13.61 eV per formula unit
# Theoretical density   4.7 Mg/m³
data_BeAl2Ag
_chemical_formula_sum 'Be3 Al6 Ag3'
_symmetry_space_group_name_H-M 'R -3 m'
_symmetry_Int_Tables_number 166
_symmetry_space_group_name_Hall '-R 3 2"'
_cell_length_a 2.8997
_cell_length_b 2.8997
_cell_length_c 24.8622
_cell_angle_alpha 90.00
_cell_angle_beta 90.00
_cell_angle_gamma 120.00
loop_
_atom_site_label
_atom_site_fract_x
_atom_site_fract_y
_atom_site_fract_z
Be1 0.0000 0.0000 0.0000
Al1 0.0000 0.0000 0.2568
Ag1 0.0000 0.0000 0.5000

8.
# BeAl2Ag, relaxed, DFT PBE
# Total energy   -13.60 eV per formula unit
# Theoretical density   4.7 Mg/m³
data_BeAl2Ag
_chemical_formula_sum 'Be1 Al2 Ag1'
_symmetry_space_group_name_H-M 'P 1 m 1'
_symmetry_Int_Tables_number 6
_cell_length_a 3.146
_cell_length_b 3.956
_cell_length_c 5.099
_cell_angle_alpha 90.00
_cell_angle_beta 107.81
_cell_angle_gamma 90.00
loop_
_symmetry_equiv_pos_as_xyz
'x,y,z'
'x,-y,z'
loop_
_atom_site_label
_atom_site_fract_x
_atom_site_fract_y
_atom_site_fract_z
Be1 0.000 0.000 0.000
Al1 0.424 0.500 0.841
Al2 0.750 0.000 0.504
Ag1 0.149 0.500 0.296

Please write out number 1 again, unchanged.
# BaAl2ZnAg4, relaxed, DFT PBE
# Total energy   -22.96 eV per formula unit
# Theoretical density   6.6 Mg/m³
data_BaAl2ZnAg4
_chemical_formula_sum 'Ba3 Al6 Zn3 Ag12'
_symmetry_space_group_name_H-M 'R -3 m'
_symmetry_Int_Tables_number 166
_symmetry_space_group_name_Hall '-R 3 2"'
_cell_length_a 4.5059
_cell_length_b 4.5059
_cell_length_c 29.7005
_cell_angle_alpha 90.00
_cell_angle_beta 90.00
_cell_angle_gamma 120.00
loop_
_atom_site_label
_atom_site_fract_x
_atom_site_fract_y
_atom_site_fract_z
Ba1 0.0000 0.0000 0.0000
Al1 0.0000 0.0000 0.2371
Zn1 0.0000 0.0000 0.5000
Ag1 0.0000 0.0000 0.1366
Ag2 0.0000 0.0000 0.4114

- Among the records above, which one has the lowest total energy?
  Ba2Al12ZnAg3

- Among the records above, which one has the lowest total energy?
  Ba2Al12ZnAg3